# 1
A plane-wave DFT calculation with PBE was carried out for PuSi3IrRh after structural relaxation.

Cell lengths 5.554, 6.095, 7.567 Å; angles 113.75, 90.00, 90.00 degrees
Fractional coordinates of all 12 atoms:
Pu: 0.750 0.312 0.624
Pu: 0.250 0.688 0.376
Si: 0.250 0.264 0.529
Si: 0.000 0.216 0.000
Si: 0.500 0.784 0.000
Si: 0.500 0.216 0.000
Si: 0.000 0.784 0.000
Si: 0.750 0.736 0.471
Ir: 0.250 0.429 0.857
Ir: 0.750 0.571 0.143
Rh: 0.250 0.103 0.205
Rh: 0.750 0.897 0.795

Properties
VASP energy in eV per atom: -8.261
Formation energy (no corrections) in eV per atom: -0.46

# 2
A plane-wave DFT calculation with PBE was carried out for Pu2Si4Ir3Rh after structural relaxation.

Cell lengths 4.143, 4.143, 9.901 Å; angles 90.00, 90.00, 90.00 degrees
Fractional coordinates of all 10 atoms:
Pu: 0.500 0.000 0.244
Pu: 0.000 0.500 0.756
Si: 0.500 0.500 0.000
Si: 0.000 0.000 0.000
Si: 0.500 0.000 0.629
Si: 0.000 0.500 0.371
Ir: 0.000 0.000 0.500
Ir: 0.500 0.000 0.872
Ir: 0.000 0.500 0.128
Rh: 0.500 0.500 0.500

Properties
VASP energy in eV per atom: -9.293
Formation energy (no corrections) in eV per atom: -0.86

# 3
A plane-wave DFT calculation with PBE was carried out for PuSi2IrRh after structural relaxation.

Cell lengths 4.058, 4.058, 5.833 Å; angles 110.35, 110.35, 90.00 degrees
Fractional coordinates of all 5 atoms:
Pu: 0.000 0.000 0.000
Si: 0.621 0.621 0.243
Si: 0.379 0.379 0.757
Ir: 0.750 0.250 0.500
Rh: 0.250 0.750 0.500

Properties
VASP energy in eV per atom: -9.186
Formation energy (no corrections) in eV per atom: -0.91

# 4
A plane-wave DFT calculation with PBE was carried out for Pu2Si4IrRh3 after structural relaxation.

Cell lengths 4.132, 4.132, 9.887 Å; angles 90.00, 90.00, 90.00 degrees
Fractional coordinates of all 10 atoms:
Pu: 0.500 0.000 0.244
Pu: 0.000 0.500 0.756
Si: 0.500 0.500 0.000
Si: 0.000 0.000 0.000
Si: 0.500 0.000 0.630
Si: 0.000 0.500 0.370
Ir: 0.500 0.500 0.500
Rh: 0.000 0.000 0.500
Rh: 0.500 0.000 0.874
Rh: 0.000 0.500 0.126

Properties
VASP energy in eV per atom: -8.977
Formation energy (no corrections) in eV per atom: -0.85

# 5
A plane-wave DFT calculation with PBE was carried out for Pu3Si2IrRh9 after structural relaxation.

Cell lengths 7.437, 7.437, 5.919 Å; angles 90.00, 90.00, 120.00 degrees
Fractional coordinates of all 15 atoms:
Pu: 0.333 0.667 0.660
Pu: 0.000 0.000 0.000
Pu: 0.667 0.333 0.340
Si: 0.333 0.667 0.144
Si: 0.667 0.333 0.856
Ir: 0.000 0.000 0.500
Rh: 0.818 0.182 0.648
Rh: 0.818 0.636 0.648
Rh: 0.364 0.182 0.648
Rh: 0.636 0.818 0.352
Rh: 0.182 0.364 0.352
Rh: 0.182 0.818 0.352
Rh: 0.500 0.000 0.000
Rh: 0.000 0.500 0.000
Rh: 0.500 0.500 0.000

Properties
VASP energy in eV per atom: -8.719
Formation energy (no corrections) in eV per atom: -0.13

# 6
A plane-wave DFT calculation with PBE was carried out for TbPuIrRh after structural relaxation.

Cell lengths 4.859, 4.859, 4.859 Å; angles 60.00, 60.00, 60.00 degrees
Fractional coordinates of all 4 atoms:
Rh: 0.750 0.750 0.750
Ir: 0.250 0.250 0.250
Tb: 0.000 0.000 0.000
Pu: 0.500 0.500 0.500

Properties
VASP energy in eV per atom: -9.405
DFT formation energy in eV per formula unit: -2.4

# 7
A plane-wave DFT calculation with PBE was carried out for PuThIrRh after structural relaxation.

Cell lengths 4.959, 4.959, 4.959 Å; angles 60.00, 60.00, 60.00 degrees
Fractional coordinates of all 4 atoms:
Ir: 0.750 0.750 0.750
Rh: 0.250 0.250 0.250
Th: 0.000 0.000 0.000
Pu: 0.500 0.500 0.500

Properties
VASP energy in eV per atom: -10.102
DFT formation energy in eV per formula unit: -2.4

# 8
A plane-wave DFT calculation with PBE was carried out for PuZnIrRh after structural relaxation.

Cell lengths 4.587, 4.587, 4.587 Å; angles 60.00, 60.00, 60.00 degrees
Fractional coordinates of all 4 atoms:
Zn: 0.750 0.750 0.750
Ir: 0.000 0.000 0.000
Rh: 0.500 0.500 0.500
Pu: 0.250 0.250 0.250

Properties
VASP energy in eV per atom: -8.352
DFT formation energy in eV per formula unit: -1.6